# PBE-GGA CaCo2Au, relaxed
data_CaCo2Au
_cell_length_a 6.383
_cell_length_b 6.383
_cell_length_c 6.383
_cell_angle_alpha 90.00
_cell_angle_beta 90.00
_cell_angle_gamma 90.00
_space_group_name_H-M_alt 'F m -3 m'
_space_group_IT_number 225
_space_group_name_Hall '-F 4 2 3'
loop_
_atom_site_label
_atom_site_type_symbol
_atom_site_fract_x
_atom_site_fract_y
_atom_site_fract_z
_atom_site_occupancy
Ca1 Ca 0.000 0.000 0.000 1
Co1 Co 0.250 0.250 0.250 1
Au1 Au 0.000 0.000 0.500 1
# - ΔH_f (0 K) (meV per atom) = 318.9
# - calculated density (Mg/m³) = 9.1
# - total energy (eV/atom) = -4.5537



# PBE-GGA CrCdSe2, relaxed
data_CrCdSe2
_cell_length_a 4.828
_cell_length_b 4.828
_cell_length_c 3.439
_cell_angle_alpha 90.00
_cell_angle_beta 90.00
_cell_angle_gamma 90.00
_space_group_name_H-M_alt 'P 4/m m m'
_space_group_IT_number 123
_space_group_name_Hall '-P 4 2'
loop_
_atom_site_label
_atom_site_type_symbol
_atom_site_fract_x
_atom_site_fract_y
_atom_site_fract_z
_atom_site_occupancy
Cr1 Cr 0.000 0.000 0.000 1
Cd1 Cd 0.500 0.500 0.000 1
Se1 Se 0.000 0.500 0.500 1
# - calculated density (Mg/m³) = 6.7
# - formation energy (no corrections) (eV/f.u.) = 0.1
# - total energy (eV/atom) = -4.3466



# PBE-GGA BaCdPb2, relaxed
data_BaCdPb2
_cell_length_a 4.0462
_cell_length_b 4.0462
_cell_length_c 29.9445
_cell_angle_alpha 90.00
_cell_angle_beta 90.00
_cell_angle_gamma 120.00
_space_group_name_H-M_alt 'R -3 m'
_space_group_IT_number 166
_space_group_name_Hall '-R 3 2"'
loop_
_atom_site_label
_atom_site_type_symbol
_atom_site_fract_x
_atom_site_fract_y
_atom_site_fract_z
_atom_site_occupancy
Ba1 Ba 0.0000 0.0000 0.0000 1
Cd1 Cd 0.0000 0.0000 0.5000 1
Pb1 Pb 0.0000 0.0000 0.2359 1
# - ΔH_f (0 K) (meV per atom) = -24.6
# - calculated density (Mg/m³) = 7.8
# - total energy (eV/atom) = -2.5882



# PBE-GGA ZrMnPS2, relaxed
data_ZrMnPS2
_cell_length_a 4.420
_cell_length_b 4.420
_cell_length_c 4.583
_cell_angle_alpha 90.00
_cell_angle_beta 90.00
_cell_angle_gamma 90.00
_space_group_name_H-M_alt 'P 4/m m m'
_space_group_IT_number 123
_space_group_name_Hall '-P 4 2'
loop_
_atom_site_label
_atom_site_type_symbol
_atom_site_fract_x
_atom_site_fract_y
_atom_site_fract_z
_atom_site_occupancy
Zr1 Zr 0.000 0.000 0.000 1
Mn1 Mn 0.500 0.500 0.500 1
P1 P 0.500 0.500 0.000 1
S1 S 0.000 0.500 0.500 1
# - calculated density (Mg/m³) = 4.5
# - formation energy (no corrections) (eV/f.u.) = -0.7
# - energy above the lowest structure with this stoichiometry (meV per atom) = 0
# - total energy (eV/atom) = -6.4160



# PBE-GGA Na3ScRh, relaxed
data_Na3ScRh
_cell_length_a 5.230
_cell_length_b 5.230
_cell_length_c 5.230
_cell_angle_alpha 90.00
_cell_angle_beta 90.00
_cell_angle_gamma 90.00
_space_group_name_H-M_alt 'P m -3 m'
_space_group_IT_number 221
_space_group_name_Hall '-P 4 2 3'
loop_
_atom_site_label
_atom_site_type_symbol
_atom_site_fract_x
_atom_site_fract_y
_atom_site_fract_z
_atom_site_occupancy
Na1 Na 0.000 0.000 0.500 1
Sc1 Sc 0.500 0.500 0.500 1
Rh1 Rh 0.000 0.000 0.000 1
# - ΔH_f (0 K) (meV per atom) = 807.0
# - calculated density (Mg/m³) = 2.5
# - energy above the lowest structure with this stoichiometry (meV per atom) = 0
# - total energy (eV/atom) = -2.7210



# PBE-GGA Mo2HSe, relaxed
data_Mo2HSe
_cell_length_a 5.953
_cell_length_b 5.953
_cell_length_c 5.953
_cell_angle_alpha 90.00
_cell_angle_beta 90.00
_cell_angle_gamma 90.00
_space_group_name_H-M_alt 'F m -3 m'
_space_group_IT_number 225
_space_group_name_Hall '-F 4 2 3'
loop_
_atom_site_label
_atom_site_type_symbol
_atom_site_fract_x
_atom_site_fract_y
_atom_site_fract_z
_atom_site_occupancy
Mo1 Mo 0.250 0.250 0.250 1
H1 H 0.000 0.000 0.000 1
Se1 Se 0.000 0.000 0.500 1
# - calculated density (Mg/m³) = 8.6
# - energy above the lowest structure with this stoichiometry (meV per atom) = 308
# - total energy (eV/atom) = -6.4583